[1]
# LiMnIn2

An optimized crystal structure of LiMnIn2 (PBE, Alexandria via LeMat-Bulk).

Cell lengths 3.2839, 3.2839, 6.8010 Å; angles 90.00, 90.00, 90.00 degrees
Last column: nearest neighbours and their distance in Å.
Positions (direct):
Li  0.0000  0.0000  0.0000  8 In 2.88
Mn  0.0000  0.0000  0.5000  8 In 2.87
In  0.5000  0.5000  0.2510  4 Mn 2.87, 4 Li 2.88
In  0.5000  0.5000  0.7490  4 Mn 2.87, 4 Li 2.88

For the total DFT energy (no corrections), the calculation gives -16.638 eV per formula unit. As for the space group: P4/mmm. The calculation puts the formation energy at -0.1 eV per formula unit.

[2]
# BeTc8

An optimized crystal structure of BeTc8 (PBE, Alexandria via LeMat-Bulk).

Cell lengths 6.0504, 6.0504, 6.0504 Å; angles 95.84, 95.84, 142.78 degrees
Last column: nearest neighbours and their distance in Å.
Positions (direct):
Be  0.0000  0.0000  0.0000  12 Tc 2.69-2.70
Tc  0.0000  0.3324  0.3324  1 Be 2.70, 11 Tc 2.71-2.73
Tc  0.0000  0.6676  0.6676  1 Be 2.70, 11 Tc 2.71-2.73
Tc  0.3324  0.0000  0.3324  1 Be 2.70, 11 Tc 2.71-2.73
Tc  0.3362  0.3362  0.6723  10 Tc 2.66-2.76, 2 Be 2.69
Tc  0.3362  0.6638  0.0000  10 Tc 2.66-2.76, 2 Be 2.69
Tc  0.6638  0.3362  0.0000  10 Tc 2.66-2.76, 2 Be 2.69
Tc  0.6638  0.6638  0.3277  10 Tc 2.66-2.76, 2 Be 2.69
Tc  0.6676  0.0000  0.6676  1 Be 2.70, 11 Tc 2.71-2.73

For the total DFT energy (no corrections), the calculation gives -85.975 eV per formula unit. As for the space group: I4/mmm. The calculation puts the formation energy at 0.7 eV per formula unit.

[3]
# RbTb6S8

An optimized crystal structure of RbTb6S8 (PBE, Alexandria via LeMat-Bulk).

Cell lengths 7.8290, 7.8290, 7.8290 Å; angles 93.46, 93.46, 93.46 degrees
Last column: nearest neighbours and their distance in Å.
Positions (direct):
Rb  0.0000  0.0000  0.0000  2 S 3.22
Tb  0.1941  0.5679  0.3804  5 S 2.68-2.81
Tb  0.3804  0.1941  0.5679  5 S 2.68-2.81
Tb  0.4321  0.6196  0.8059  5 S 2.68-2.81
Tb  0.5679  0.3804  0.1941  5 S 2.68-2.81
Tb  0.6196  0.8059  0.4321  5 S 2.68-2.81
Tb  0.8059  0.4321  0.6196  5 S 2.68-2.81
S  0.1452  0.4102  0.6884  4 Tb 2.70-2.81
S  0.2534  0.2534  0.2534  3 Tb 2.68
S  0.3116  0.8548  0.5898  4 Tb 2.70-2.81
S  0.4102  0.6884  0.1452  4 Tb 2.70-2.81
S  0.5898  0.3116  0.8548  4 Tb 2.70-2.81
S  0.6884  0.1452  0.4102  4 Tb 2.70-2.81
S  0.7466  0.7466  0.7466  3 Tb 2.68
S  0.8548  0.5898  0.3116  4 Tb 2.70-2.81

For the total DFT energy (no corrections), the calculation gives -89.073 eV per formula unit. As for the space group: R-3. As for the uncorrected formation energy: -42.0 kcal/mol of atoms.

[4]
# Mn2Sb2Br

An optimized crystal structure of Mn2Sb2Br (PBE, Alexandria via LeMat-Bulk).

Cell lengths 5.3186, 5.3186, 7.2935 Å; angles 90.00, 90.00, 90.00 degrees
Last column: nearest neighbours and their distance in Å.
Positions (direct):
Mn  0.0000  0.0000  0.1378  1 Mn 2.01
Mn  0.0000  0.0000  0.8622  1 Mn 2.01
Mn  0.5000  0.5000  0.3622  1 Mn 2.01
Mn  0.5000  0.5000  0.6378  1 Mn 2.01
Sb  0.0000  0.5000  0.2500  4 Mn 2.78
Sb  0.0000  0.5000  0.7500  4 Mn 2.78
Sb  0.5000  0.0000  0.2500  4 Mn 2.78
Sb  0.5000  0.0000  0.7500  4 Mn 2.78
Br  0.0000  0.0000  0.5000  2 Mn 2.64
Br  0.5000  0.5000  0.0000  2 Mn 2.64

For the total DFT energy (no corrections), the calculation gives -26.017 eV per formula unit. As for the space group: I4/mmm. As for the uncorrected formation energy: 10.3 kcal/mol of atoms.

[5]
# CrP2PtS

An optimized crystal structure of CrP2PtS (PBE, Alexandria via LeMat-Bulk).

Cell lengths 4.4601, 4.4601, 4.2402 Å; angles 90.00, 90.00, 90.00 degrees
Last column: nearest neighbours and their distance in Å.
Positions (direct):
Cr  0.0000  0.0000  0.0000  2 S 2.12, 4 P 2.23
P  0.0000  0.5000  0.0000  2 Cr 2.23
P  0.5000  0.0000  0.0000  2 Cr 2.23
Pt  0.5000  0.5000  0.5000  8 P 3.08, 4 S 3.15
S  0.0000  0.0000  0.5000  2 Cr 2.12

For the total DFT energy (no corrections), the calculation gives -27.747 eV per formula unit. As for the space group: P4/mmm. As for the uncorrected formation energy: 13.2 kcal/mol of atoms.

[6]
# Ac2Zn4PtRh3

An optimized crystal structure of Ac2Zn4PtRh3 (PBE, Alexandria via LeMat-Bulk).

Cell lengths 4.3507, 4.3507, 10.5254 Å; angles 90.00, 90.00, 90.00 degrees
Last column: nearest neighbours and their distance in Å.
Positions (direct):
Ac  0.0000  0.5000  0.2431  8 Zn 3.30-3.47, 6 Rh 3.35-3.36, 2 Pt 3.36
Ac  0.5000  0.0000  0.7569  8 Zn 3.30-3.47, 6 Rh 3.35-3.36, 2 Pt 3.36
Zn  0.0000  0.0000  0.5000  4 Rh 2.57
Zn  0.0000  0.5000  0.8715  3 Rh 2.53-2.56, 2 Pt 2.56
Zn  0.5000  0.0000  0.1285  3 Rh 2.53-2.56, 2 Pt 2.56
Zn  0.5000  0.5000  0.5000  4 Rh 2.57
Pt  0.5000  0.5000  0.0000  4 Zn 2.56
Rh  0.0000  0.0000  0.0000  4 Zn 2.56
Rh  0.0000  0.5000  0.6307  5 Zn 2.53-2.57
Rh  0.5000  0.0000  0.3693  5 Zn 2.53-2.57

For the total DFT energy (no corrections), the calculation gives -47.370 eV per formula unit. As for the space group: P-4m2. The calculation puts the formation energy at -6.0 eV per formula unit.

[7]
# La2TbPr3Tm6

An optimized crystal structure of La2TbPr3Tm6 (PBE, Alexandria via LeMat-Bulk).

Cell lengths 6.2450, 6.2450, 11.7736 Å; angles 95.07, 95.07, 119.98 degrees
Last column: nearest neighbours and their distance in Å.
Positions (direct):
La  0.1662  0.8338  0.0000  6 Tm 3.57, 3 La 3.59-3.61, 3 Tb 3.60-3.61
La  0.8338  0.1662  0.0000  6 Tm 3.57, 3 La 3.59-3.61, 3 Tb 3.60-3.61
Tb  0.5000  0.5000  0.0000  6 Tm 3.56-3.57, 6 La 3.60-3.61
Pr  0.0000  0.0000  0.5000  6 Tm 3.57, 6 Pr 3.60-3.61
Pr  0.3332  0.6668  0.5000  6 Tm 3.56-3.57, 6 Pr 3.60-3.61
Pr  0.6668  0.3332  0.5000  6 Tm 3.56-3.57, 6 Pr 3.60-3.61
Tm  0.0841  0.4164  0.7501  1 Tb 3.56, 3 Pr 3.57, 2 La 3.57, 6 Tm 3.59-3.61
Tm  0.2512  0.2512  0.2502  3 Pr 3.56-3.57, 1 Tb 3.57, 2 La 3.57, 6 Tm 3.60-3.61
Tm  0.4164  0.0841  0.7501  1 Tb 3.56, 3 Pr 3.57, 2 La 3.57, 6 Tm 3.59-3.61
Tm  0.5836  0.9159  0.2499  1 Tb 3.56, 3 Pr 3.57, 2 La 3.57, 6 Tm 3.59-3.61
Tm  0.7488  0.7488  0.7498  3 Pr 3.56-3.57, 1 Tb 3.57, 2 La 3.57, 6 Tm 3.60-3.61
Tm  0.9159  0.5836  0.2499  1 Tb 3.56, 3 Pr 3.57, 2 La 3.57, 6 Tm 3.59-3.61

For the total DFT energy (no corrections), the calculation gives -55.425 eV per formula unit. As for the space group: C2/m. The calculation puts the formation energy at 0.2 eV per formula unit.

[8]
# RbZnAgS2

An optimized crystal structure of RbZnAgS2 (PBE, Alexandria via LeMat-Bulk).

Cell lengths 7.0204, 7.0204, 9.4596 Å; angles 98.41, 98.41, 34.07 degrees
Last column: nearest neighbours and their distance in Å.
Positions (direct):
Rb  0.1540  0.1540  0.1590  6 S 3.31-3.71
Rb  0.8460  0.8460  0.8410  6 S 3.31-3.71
Zn  0.4387  0.4387  0.3273  4 S 2.36-2.61
Zn  0.5613  0.5613  0.6727  4 S 2.36-2.61
Ag  0.1847  0.1847  0.5621  4 S 2.58-2.70
Ag  0.8153  0.8153  0.4379  4 S 2.58-2.70
S  0.1136  0.1136  0.8020  2 Zn 2.44, 1 Ag 2.59
S  0.3877  0.3877  0.5822  2 Zn 2.36-2.61, 2 Ag 2.58
S  0.6123  0.6123  0.4178  2 Zn 2.36-2.61, 2 Ag 2.58
S  0.8864  0.8864  0.1980  2 Zn 2.44, 1 Ag 2.59

For the total DFT energy (no corrections), the calculation gives -16.606 eV per formula unit. As for the space group: C2/m. As for the uncorrected formation energy: -15.0 kcal/mol of atoms.

[9]
# CaCd3Hg

An optimized crystal structure of CaCd3Hg (PBE, Alexandria via LeMat-Bulk).

Cell lengths 5.4087, 5.4087, 5.4087 Å; angles 90.00, 90.00, 90.00 degrees
Last column: nearest neighbours and their distance in Å.
Positions (direct):
Ca  0.0000  0.0000  0.0000  12 Cd 3.82
Cd  0.0000  0.5000  0.5000  2 Hg 2.70
Cd  0.5000  0.0000  0.5000  2 Hg 2.70
Cd  0.5000  0.5000  0.0000  2 Hg 2.70
Hg  0.5000  0.5000  0.5000  6 Cd 2.70

For the total DFT energy (no corrections), the calculation gives -4.417 eV per formula unit. As for the space group: Pm-3m. The calculation puts the formation energy at 0.6 eV per formula unit.

[10]
# CaScSi2

An optimized crystal structure of CaScSi2 (PBE, Alexandria via LeMat-Bulk).

Cell lengths 4.4412, 4.4412, 7.9839 Å; angles 90.00, 90.00, 90.00 degrees
Last column: nearest neighbours and their distance in Å.
Positions (direct):
Ca  0.0000  0.0000  0.0000  8 Si 2.99, 4 Sc 3.14
Ca  0.5000  0.5000  0.5000  8 Si 2.99, 4 Sc 3.14
Sc  0.0000  0.0000  0.5000  8 Si 2.99, 4 Ca 3.14
Sc  0.5000  0.5000  0.0000  8 Si 2.99, 4 Ca 3.14
Si  0.0000  0.5000  0.2500  4 Ca 2.99, 4 Sc 2.99, 4 Si 3.14
Si  0.0000  0.5000  0.7500  4 Ca 2.99, 4 Sc 2.99, 4 Si 3.14
Si  0.5000  0.0000  0.2500  4 Ca 2.99, 4 Sc 2.99, 4 Si 3.14
Si  0.5000  0.0000  0.7500  4 Ca 2.99, 4 Sc 2.99, 4 Si 3.14

For the total DFT energy (no corrections), the calculation gives -20.455 eV per formula unit. As for the space group: I4/mmm. As for the uncorrected formation energy: -7.4 kcal/mol of atoms.

[11]
# CsK2Ba

An optimized crystal structure of CsK2Ba (PBE, Alexandria via LeMat-Bulk).

Cell lengths 11.8723, 11.8723, 9.3031 Å; angles 90.00, 90.00, 90.00 degrees
Last column: nearest neighbours and their distance in Å.
Positions (direct):
Cs  0.0000  0.0000  0.0000  4 K 4.32, 2 Ba 4.65
Cs  0.0000  0.5000  0.2500  4 K 4.32, 2 Ba 4.65
Cs  0.5000  0.0000  0.7500  4 K 4.32, 2 Ba 4.65
Cs  0.5000  0.5000  0.5000  4 K 4.32, 2 Ba 4.65
K  0.2450  0.2500  0.1250  2 Cs 4.32, 2 Ba 4.40, 2 K 4.65
K  0.2500  0.7450  0.3750  2 Cs 4.32, 2 Ba 4.40, 2 K 4.65
K  0.2500  0.7550  0.8750  2 Cs 4.32, 2 Ba 4.40, 2 K 4.65
K  0.2550  0.2500  0.6250  2 Cs 4.32, 2 Ba 4.40, 2 K 4.65
K  0.7450  0.7500  0.6250  2 Cs 4.32, 2 Ba 4.40, 2 K 4.65
K  0.7500  0.2450  0.8750  2 Cs 4.32, 2 Ba 4.40, 2 K 4.65
K  0.7500  0.2550  0.3750  2 Cs 4.32, 2 Ba 4.40, 2 K 4.65
K  0.7550  0.7500  0.1250  2 Cs 4.32, 2 Ba 4.40, 2 K 4.65
Ba  0.0000  0.0000  0.5000  4 K 4.40, 2 Cs 4.65
Ba  0.0000  0.5000  0.7500  4 K 4.40, 2 Cs 4.65
Ba  0.5000  0.0000  0.2500  4 K 4.40, 2 Cs 4.65
Ba  0.5000  0.5000  0.0000  4 K 4.40, 2 Cs 4.65

For the total DFT energy (no corrections), the calculation gives -4.123 eV per formula unit. As for the space group: I-42d. The calculation puts the formation energy at 0.8 eV per formula unit.

[12]
# CsMgSb2Pb

An optimized crystal structure of CsMgSb2Pb (PBE, Alexandria via LeMat-Bulk).

Cell lengths 8.3263, 8.3263, 12.8207 Å; angles 124.29, 124.29, 33.76 degrees
Last column: nearest neighbours and their distance in Å.
Positions (direct):
Cs  0.1688  0.1688  0.1452  7 Sb 3.96-4.37, 3 Mg 4.37-4.42, 1 Cs 4.38
Cs  0.8312  0.8312  0.8548  7 Sb 3.96-4.37, 3 Mg 4.37-4.42, 1 Cs 4.38
Mg  0.0610  0.0610  0.7388  4 Sb 2.81-3.07
Mg  0.9390  0.9390  0.2612  4 Sb 2.81-3.07
Sb  0.1108  0.1108  0.5527  2 Mg 2.92-3.07, 1 Sb 2.94, 2 Pb 3.12
Sb  0.4447  0.4447  0.1539  2 Mg 2.81, 1 Pb 3.05
Sb  0.5553  0.5553  0.8461  2 Mg 2.81, 1 Pb 3.05
Sb  0.8892  0.8892  0.4473  2 Mg 2.92-3.07, 1 Sb 2.94, 2 Pb 3.12
Pb  0.3555  0.3555  0.5729  3 Sb 3.05-3.12
Pb  0.6445  0.6445  0.4271  3 Sb 3.05-3.12

For the total DFT energy (no corrections), the calculation gives -15.926 eV per formula unit. As for the space group: C2/m. As for the uncorrected formation energy: -7.0 kcal/mol of atoms.